Entry 1:
The following is a DFT calculation (PBE) of a relaxed Na3GaO3 crystal.

Properties
Volume   196.9 Å³/cell
E_tot   -4.74 eV per atom
Uncorrected formation energy   -1.6181 eV per atom
Total magnetization   0.00 μB/cell
Density of states at the Fermi level   0.000 states/eV/atom

Cell: 6.108 6.108 5.917 Å, 94.41 94.41 115.65°
Atoms (fractional coordinates):
O: 0.831 0.538 0.732
O: 0.462 0.169 0.268
O: 0.169 0.462 0.268
Na: 0.257 0.743 0.000
O: 0.896 0.896 0.183
Na: 0.803 0.197 0.500
Ga: 0.815 0.815 0.856
O: 0.538 0.831 0.732
O: 0.104 0.104 0.817
Na: 0.197 0.803 0.500
Na: 0.743 0.257 0.000
Ga: 0.185 0.185 0.144
Na: 0.624 0.624 0.360
Na: 0.376 0.376 0.640



Entry 2:
The following is a DFT calculation (PBE) of a relaxed Na2GaO crystal.

Properties
Volume   170.2 Å³/cell
E_tot   -3.21 eV per atom
Uncorrected formation energy   -0.5562 eV per atom
Total magnetization   0.00 μB/cell
Density of states at the Fermi level   0.527 states/eV/atom

Cell: 8.890 8.890 6.645 Å, 48.01 48.01 90.00°
Atoms (fractional coordinates):
O: 0.500 0.500 0.000
Na: 0.875 0.715 0.750
Na: 0.465 0.125 0.250
Ga: 0.750 0.250 0.500
Ga: 0.000 0.000 0.000
O: 0.250 0.750 0.500
Na: 0.375 0.535 0.750
Na: 0.285 0.625 0.250



Entry 3:
The following is a DFT calculation (PBE) of a relaxed NaGaO2 crystal.

Properties
Volume   867.8 Å³/cell
E_tot   -5.43 eV per atom
Uncorrected formation energy   -1.8614 eV per atom
Total magnetization   0.00 μB/cell
Density of states at the Fermi level   0.000 states/eV/atom

Cell: 5.398 10.783 14.910 Å, 90.00 90.00 90.00°
Atoms (fractional coordinates):
O: 0.648 0.272 0.044
O: 0.223 0.305 0.668
Na: 0.780 0.484 0.063
O: 0.707 0.057 0.918
Na: 0.815 0.227 0.690
Na: 0.815 0.273 0.190
O: 0.852 0.772 0.044
O: 0.707 0.443 0.418
Na: 0.780 0.016 0.563
O: 0.148 0.272 0.456
Na: 0.280 0.484 0.437
Ga: 0.696 0.777 0.438
Ga: 0.197 0.025 0.187
O: 0.223 0.195 0.168
O: 0.793 0.943 0.418
Na: 0.280 0.016 0.937
O: 0.207 0.057 0.582
O: 0.367 0.979 0.291
Ga: 0.303 0.525 0.187
Ga: 0.304 0.223 0.562
Ga: 0.197 0.475 0.687
Ga: 0.304 0.277 0.062
O: 0.633 0.021 0.709
O: 0.133 0.479 0.291
Ga: 0.804 0.223 0.938
Ga: 0.697 0.475 0.813
Na: 0.315 0.227 0.810
O: 0.852 0.728 0.544
Na: 0.720 0.516 0.563
Na: 0.685 0.773 0.190
Ga: 0.696 0.723 0.938
Ga: 0.196 0.777 0.062
Na: 0.315 0.273 0.310
O: 0.277 0.805 0.668
Ga: 0.803 0.975 0.813
Ga: 0.803 0.525 0.313
O: 0.723 0.195 0.332
O: 0.293 0.943 0.082
Ga: 0.196 0.723 0.562
Na: 0.220 0.984 0.437
Na: 0.185 0.727 0.810
Na: 0.685 0.727 0.690
Na: 0.720 0.984 0.063
O: 0.148 0.228 0.956
O: 0.867 0.521 0.709
O: 0.352 0.728 0.956
O: 0.793 0.557 0.918
O: 0.133 0.021 0.791
O: 0.723 0.305 0.832
O: 0.293 0.557 0.582
O: 0.352 0.772 0.456
O: 0.633 0.479 0.209
O: 0.867 0.979 0.209
O: 0.777 0.805 0.832
Ga: 0.303 0.975 0.687
Na: 0.220 0.516 0.937
O: 0.277 0.695 0.168
Ga: 0.804 0.277 0.438
O: 0.207 0.443 0.082
O: 0.367 0.521 0.791
Ga: 0.697 0.025 0.313
O: 0.777 0.695 0.332
O: 0.648 0.228 0.544
Na: 0.185 0.773 0.310



Entry 4:
The following is a DFT calculation (PBE) of a relaxed Na2GaO2 crystal.

Properties
Volume   155.4 Å³/cell
E_tot   -4.39 eV per atom
Uncorrected formation energy   -1.2741 eV per atom
Total magnetization   0.00 μB/cell
Density of states at the Fermi level   0.101 states/eV/atom

Cell: 5.818 5.826 6.161 Å, 118.22 118.18 90.00°
Atoms (fractional coordinates):
O: 0.086 0.781 0.173
O: 0.586 0.391 0.173
Ga: 0.750 0.500 0.000
Ga: 0.250 0.500 0.000
O: 0.414 0.609 0.827
Na: 0.661 0.068 0.321
Na: 0.339 0.932 0.679
O: 0.914 0.219 0.827
Na: 0.839 0.747 0.679
Na: 0.161 0.253 0.321



Entry 5:
The following is a DFT calculation (PBE) of a relaxed NaGa3O crystal.

Properties
Volume   98.5 Å³/cell
E_tot   -3.25 eV per atom
Uncorrected formation energy   -0.1773 eV per atom
Total magnetization   0.00 μB/cell
Density of states at the Fermi level   0.415 states/eV/atom

Cell: 4.618 4.618 4.618 Å, 90.00 90.00 90.00°
Atoms (fractional coordinates):
Ga: 0.500 0.000 0.000
Na: 0.500 0.500 0.500
O: 0.000 0.000 0.000
Ga: 0.000 0.000 0.500
Ga: 0.000 0.500 0.000



Entry 6:
The following is a DFT calculation (PBE) of a relaxed NaGaO2 crystal.

Properties
Volume   43.4 Å³/cell
E_tot   -5.34 eV per atom
Uncorrected formation energy   -1.7779 eV per atom
Total magnetization   0.00 μB/cell
Density of states at the Fermi level   0.000 states/eV/atom

Cell: 3.006 3.006 5.811 Å, 75.01 75.01 60.00°
Atoms (fractional coordinates):
Ga: 0.667 0.667 0.998
O: 0.066 0.066 0.802
Na: 0.498 0.498 0.507
O: 0.269 0.269 0.193



Entry 7:
The following is a DFT calculation (PBE) of a relaxed Na3Ga2O4 crystal.

Properties
Volume   124.4 Å³/cell
E_tot   -4.82 eV per atom
Uncorrected formation energy   -1.5060 eV per atom
Total magnetization   0.00 μB/cell
Density of states at the Fermi level   0.128 states/eV/atom

Cell: 3.294 5.798 9.188 Å, 130.19 90.00 106.50°
Atoms (fractional coordinates):
O: 0.288 0.577 0.860
Ga: 0.756 0.512 0.370
Na: 0.385 0.770 0.191
O: 0.135 0.269 0.349
O: 0.712 0.423 0.140
Ga: 0.244 0.488 0.630
Na: 0.615 0.230 0.809
O: 0.865 0.731 0.651
Na: 0.000 0.000 0.000



Entry 8:
The following is a DFT calculation (PBE) of a relaxed Na5GaO4 crystal.

Properties
Volume   1138.9 Å³/cell
E_tot   -4.48 eV per atom
Uncorrected formation energy   -1.5364 eV per atom
Total magnetization   0.85 μB/cell
Density of states at the Fermi level   0.000 states/eV/atom

Cell: 6.009 10.460 18.119 Å, 90.00 90.00 90.00°
Atoms (fractional coordinates):
Na: 0.899 0.078 0.748
Na: 0.101 0.422 0.248
Na: 0.077 0.801 0.641
Ga: 0.328 0.539 0.124
Na: 0.590 0.664 0.002
O: 0.640 0.548 0.121
O: 0.262 0.366 0.625
Ga: 0.172 0.539 0.624
Na: 0.418 0.060 0.065
O: 0.762 0.134 0.625
Na: 0.910 0.664 0.502
O: 0.236 0.625 0.211
O: 0.360 0.952 0.621
Na: 0.590 0.164 0.498
Na: 0.082 0.560 0.935
O: 0.738 0.134 0.125
Na: 0.923 0.699 0.141
Na: 0.395 0.174 0.671
Ga: 0.828 0.461 0.376
Na: 0.082 0.060 0.565
O: 0.360 0.452 0.879
Na: 0.418 0.560 0.435
O: 0.736 0.375 0.289
O: 0.262 0.866 0.875
Na: 0.601 0.078 0.248
Na: 0.423 0.801 0.141
O: 0.860 0.048 0.879
O: 0.198 0.631 0.046
Na: 0.601 0.578 0.252
Na: 0.582 0.940 0.935
O: 0.738 0.634 0.375
Na: 0.899 0.578 0.752
Na: 0.582 0.440 0.565
O: 0.762 0.634 0.875
Ga: 0.828 0.961 0.124
Na: 0.910 0.164 0.998
O: 0.238 0.366 0.125
Na: 0.410 0.836 0.502
Na: 0.105 0.174 0.171
Na: 0.105 0.674 0.329
Na: 0.895 0.326 0.671
Na: 0.399 0.922 0.752
O: 0.698 0.869 0.046
O: 0.764 0.875 0.711
O: 0.302 0.131 0.954
Ga: 0.672 0.961 0.624
O: 0.264 0.125 0.789
Na: 0.895 0.826 0.829
O: 0.264 0.625 0.711
Na: 0.090 0.836 0.002
Na: 0.090 0.336 0.498
Na: 0.399 0.422 0.748
Na: 0.101 0.922 0.252
O: 0.236 0.125 0.289
Ga: 0.328 0.039 0.376
Na: 0.923 0.199 0.359
O: 0.198 0.131 0.454
Ga: 0.172 0.039 0.876
Na: 0.577 0.699 0.641
O: 0.140 0.952 0.121
Na: 0.077 0.301 0.859
O: 0.238 0.866 0.375
Na: 0.918 0.440 0.065
Na: 0.577 0.199 0.859
Na: 0.423 0.301 0.359
Na: 0.395 0.674 0.829
Na: 0.410 0.336 0.998
Na: 0.605 0.826 0.329
O: 0.802 0.369 0.954
O: 0.802 0.869 0.546
O: 0.698 0.369 0.454
O: 0.764 0.375 0.789
O: 0.640 0.048 0.379
O: 0.860 0.548 0.621
Na: 0.918 0.940 0.435
Na: 0.605 0.326 0.171
Ga: 0.672 0.461 0.876
O: 0.140 0.452 0.379
O: 0.736 0.875 0.211
O: 0.302 0.631 0.546



Entry 9:
The following is a DFT calculation (PBE) of a relaxed Na5GaO4 crystal.

Properties
Volume   291.8 Å³/cell
E_tot   -4.48 eV per atom
Uncorrected formation energy   -1.5391 eV per atom
Total magnetization   0.35 μB/cell
Density of states at the Fermi level   0.000 states/eV/atom

Cell: 5.479 7.427 7.172 Å, 90.00 90.00 90.00°
Atoms (fractional coordinates):
O: 0.970 0.717 0.500
Na: 0.180 0.000 0.500
O: 0.595 0.500 0.723
Na: 0.259 0.693 0.738
O: 0.405 0.000 0.777
Na: 0.741 0.193 0.238
Na: 0.259 0.307 0.738
O: 0.595 0.500 0.277
Ga: 0.219 0.000 0.000
Na: 0.259 0.693 0.262
O: 0.030 0.783 0.000
Ga: 0.781 0.500 0.500
Na: 0.820 0.500 0.000
O: 0.030 0.217 0.000
Na: 0.741 0.193 0.762
Na: 0.741 0.807 0.238
Na: 0.741 0.807 0.762
O: 0.970 0.283 0.500
O: 0.405 0.000 0.223
Na: 0.259 0.307 0.262



Entry 10:
The following is a DFT calculation (PBE) of a relaxed Na2GaO crystal.

Properties
Volume   72.0 Å³/cell
E_tot   -2.83 eV per atom
Uncorrected formation energy   -0.1722 eV per atom
Total magnetization   0.00 μB/cell
Density of states at the Fermi level   0.369 states/eV/atom

Cell: 4.669 4.669 4.669 Å, 60.00 60.00 60.00°
Atoms (fractional coordinates):
Na: 0.250 0.250 0.250
O: 0.000 0.000 0.000
Ga: 0.500 0.500 0.500
Na: 0.750 0.750 0.750



Entry 11:
The following is a DFT calculation (PBE) of a relaxed Na3GaO3 crystal.

Properties
Volume   398.2 Å³/cell
E_tot   -4.75 eV per atom
Uncorrected formation energy   -1.6315 eV per atom
Total magnetization   0.18 μB/cell
Density of states at the Fermi level   0.000 states/eV/atom

Cell: 6.138 6.506 9.985 Å, 93.07 90.00 90.00°
Atoms (fractional coordinates):
O: 0.452 0.121 0.895
Na: 0.872 0.907 0.840
O: 0.444 0.321 0.195
O: 0.548 0.879 0.105
Na: 0.372 0.093 0.660
O: 0.952 0.879 0.605
O: 0.370 0.736 0.464
Ga: 0.095 0.833 0.432
Na: 0.784 0.370 0.318
Na: 0.628 0.907 0.340
O: 0.944 0.679 0.305
Na: 0.284 0.630 0.182
Na: 0.128 0.093 0.160
Na: 0.828 0.635 0.086
O: 0.870 0.264 0.036
O: 0.130 0.736 0.964
Ga: 0.905 0.167 0.568
O: 0.630 0.264 0.536
O: 0.048 0.121 0.395
Ga: 0.595 0.167 0.068
O: 0.056 0.321 0.695
Na: 0.172 0.365 0.914
O: 0.556 0.679 0.805
Na: 0.216 0.630 0.682
Na: 0.716 0.370 0.818
Na: 0.672 0.635 0.586
Na: 0.328 0.365 0.414
Ga: 0.405 0.833 0.932



Entry 12:
The following is a DFT calculation (PBE) of a relaxed NaGaO2 crystal.

Properties
Volume   219.0 Å³/cell
E_tot   -5.44 eV per atom
Uncorrected formation energy   -1.8728 eV per atom
Total magnetization   0.00 μB/cell
Density of states at the Fermi level   0.000 states/eV/atom

Cell: 5.390 5.614 7.238 Å, 90.00 90.00 90.00°
Atoms (fractional coordinates):
Ga: 0.500 0.437 0.626
Na: 0.513 0.430 0.123
O: 0.656 0.541 0.411
O: 0.156 0.959 0.911
O: 0.656 0.041 0.089
O: 0.081 0.385 0.163
Na: 0.013 0.070 0.623
O: 0.081 0.885 0.337
O: 0.581 0.615 0.837
Ga: 0.000 0.063 0.126
Na: 0.013 0.570 0.877
Ga: 0.500 0.937 0.874
Na: 0.513 0.930 0.377
Ga: 0.000 0.563 0.374
O: 0.156 0.459 0.589
O: 0.581 0.115 0.663